# Ti2AlVC (PBE, optimized geometry)
data_Ti2AlVC
_chemical_formula_sum 'Ti2 Al1 V1 C1'
_space_group_name_H-M_alt 'P 1'
_space_group_IT_number 1
_cell_length_a 4.3896
_cell_length_b 4.7052
_cell_length_c 4.3896
_cell_angle_alpha 90.00
_cell_angle_beta 90.00
_cell_angle_gamma 90.00
loop_
_space_group_symop_operation_xyz
'x,y,z'
loop_
_atom_site_label
_atom_site_fract_x
_atom_site_fract_y
_atom_site_fract_z
Ti1 0.0000 0.0000 0.5000
Ti2 0.5000 0.0000 0.0000
C1 0.5000 0.5000 0.5000
V1 0.0000 0.0000 0.0000
Al1 0.0000 0.5000 0.0000
# - Space-group type: P4/mmm, No. 123
# - Formation energy: 1710.9 meV per atom
# - Excess energy over the best structure of this formula in the dataset: 2.197 eV per atom


# Na5LiBi6 (PBE, optimized geometry)
data_Na5LiBi6
_chemical_formula_sum 'Na5 Li1 Bi6'
_space_group_name_H-M_alt 'P 1'
_space_group_IT_number 1
_cell_length_a 4.8209
_cell_length_b 9.7170
_cell_length_c 7.6499
_cell_angle_alpha 90.00
_cell_angle_beta 71.63
_cell_angle_gamma 90.00
loop_
_space_group_symop_operation_xyz
'x,y,z'
loop_
_atom_site_label
_atom_site_fract_x
_atom_site_fract_y
_atom_site_fract_z
Bi1 0.1649 0.2453 0.6702
Bi2 0.8351 0.7547 0.3298
Bi3 0.1649 0.7547 0.6702
Bi4 0.5000 0.7576 0.0000
Bi5 0.5000 0.2424 0.0000
Bi6 0.8351 0.2453 0.3298
Na1 0.0000 0.5000 0.0000
Na2 0.3352 0.0000 0.3295
Na3 0.6666 0.5000 0.6667
Na4 0.3334 0.5000 0.3333
Na5 0.6648 0.0000 0.6705
Li1 0.0000 0.0000 0.0000
# - Space-group type: Cmmm, No. 65
# - Formation energy: -304.0 meV per atom


# Cd3CuP (PBE, optimized geometry)
data_Cd3CuP
_chemical_formula_sum 'Cd3 Cu1 P1'
_space_group_name_H-M_alt 'P 1'
_space_group_IT_number 1
_cell_length_a 5.1426
_cell_length_b 5.1426
_cell_length_c 5.1426
_cell_angle_alpha 90.00
_cell_angle_beta 90.00
_cell_angle_gamma 90.00
loop_
_space_group_symop_operation_xyz
'x,y,z'
loop_
_atom_site_label
_atom_site_fract_x
_atom_site_fract_y
_atom_site_fract_z
Cd1 0.5000 0.0000 0.0000
Cd2 0.0000 0.5000 0.0000
Cd3 0.0000 0.0000 0.5000
P1 0.0000 0.0000 0.0000
Cu1 0.5000 0.5000 0.5000
# - Space-group type: Pm-3m, No. 221
# - Formation energy: 591.5 meV per atom
# - Excess energy over the best structure of this formula in the dataset: 0.019 eV per atom


# CaOsRu (PBE, optimized geometry)
data_CaOsRu
_chemical_formula_sum 'Ca1 Os1 Ru1'
_space_group_name_H-M_alt 'P 1'
_space_group_IT_number 1
_cell_length_a 4.6084
_cell_length_b 4.6084
_cell_length_c 2.8548
_cell_angle_alpha 90.00
_cell_angle_beta 90.00
_cell_angle_gamma 120.00
loop_
_space_group_symop_operation_xyz
'x,y,z'
loop_
_atom_site_label
_atom_site_fract_x
_atom_site_fract_y
_atom_site_fract_z
Os1 0.6667 0.3333 0.4834
Ca1 0.0000 0.0000 0.9998
Ru1 0.3333 0.6667 0.5168
# - Space-group type: P3m1, No. 156
# - Formation energy: 599.6 meV per atom
# - Excess energy over the best structure of this formula in the dataset: 0.509 eV per atom


# LiNiAgPb (PBE, optimized geometry)
data_LiNiAgPb
_chemical_formula_sum 'Li1 Ni1 Ag1 Pb1'
_space_group_name_H-M_alt 'P 1'
_space_group_IT_number 1
_cell_length_a 4.5484
_cell_length_b 4.5484
_cell_length_c 4.5484
_cell_angle_alpha 60.00
_cell_angle_beta 60.00
_cell_angle_gamma 60.00
loop_
_space_group_symop_operation_xyz
'x,y,z'
loop_
_atom_site_label
_atom_site_fract_x
_atom_site_fract_y
_atom_site_fract_z
Ag1 0.2500 0.2500 0.2500
Ni1 0.5000 0.5000 0.5000
Li1 0.0000 0.0000 0.0000
Pb1 0.7500 0.7500 0.7500
# - Space-group type: F-43m, No. 216
# - Formation energy: -57.4 meV per atom


# Ag2WAu (PBE, optimized geometry)
data_Ag2WAu
_chemical_formula_sum 'Ag2 W1 Au1'
_space_group_name_H-M_alt 'P 1'
_space_group_IT_number 1
_cell_length_a 2.7940
_cell_length_b 2.7940
_cell_length_c 8.8050
_cell_angle_alpha 90.00
_cell_angle_beta 90.00
_cell_angle_gamma 90.00
loop_
_space_group_symop_operation_xyz
'x,y,z'
loop_
_atom_site_label
_atom_site_fract_x
_atom_site_fract_y
_atom_site_fract_z
W1 0.5000 0.5000 0.7500
Ag1 0.0000 0.0000 0.9965
Ag2 0.0000 0.0000 0.5035
Au1 0.5000 0.5000 0.2500
# - Space-group type: P4/mmm, No. 123
# - Formation energy: 383.0 meV per atom
# - Excess energy over the best structure of this formula in the dataset: 0.056 eV per atom


The records above yield final energy values of -5.86 -2.95 -1.86 -6.90 -3.62 -5.10 eV per atom, respectively.